# 1
Below is LiCaRe2 after structural relaxation, with properties calculated at the PBE-GGA level.

abc: 2.7784 2.7784 9.8872
angles: 90.00 90.00 110.52
Element x y z (fractional)
Ca1 0.0000 0.0000 0.4804
Re1 0.5000 0.5000 0.2227
Re2 0.0000 0.0000 0.0120
Li1 0.5000 0.5000 0.7849

Output
total magnetization = 0.000 μB per cell
formation energy = 2.3 eV per formula unit
offset from the most stable computed form = 274.7 meV per atom

# 2
Below is LiCa2Re after structural relaxation, with properties calculated at the PBE-GGA level.

abc: 10.7667 10.7667 10.7667
angles: 17.39 17.39 17.39
Element x y z (fractional)
Re1 0.7500 0.7500 0.7500
Ca1 0.4896 0.4896 0.4896
Ca2 0.0104 0.0104 0.0104
Li1 0.2500 0.2500 0.2500

Output
total magnetization = 0.880 μB per cell
formation energy = 2.7 eV per formula unit
offset from the most stable computed form = 119.3 meV per atom

> Which formula does entry 1 have?

LiCaRe2